[1]
VASP calculation (PBE-GGA) on a relaxed NaLi2TcCl crystal.

```
5
Lattice="-2.194 -0.320 -4.105 -0.955 -4.462 0.858 -4.004 1.249 2.043" Properties=species:S:1:pos:R:3 pbc="T T T"
Li -2.002 0.625 1.021
Li -1.097 -0.160 -2.052
Cl 0.000 0.000 0.000
Tc -0.477 -2.231 0.429
Na -3.576 -1.766 -0.602
```

SG   P4/mmm, No. 123
Uncorrected formation energy   0.269 eV/atom

---

[2]
VASP calculation (PBE-GGA) on a relaxed In2Cu4H crystal.

```
7
Lattice="-1.357 -2.267 2.835 -1.123 -2.616 -2.629 4.675 -5.426 0.547" Properties=species:S:1:pos:R:3 pbc="T T T"
In 1.445 -6.864 0.500
In 0.750 -3.446 0.252
H 0.000 0.000 0.000
Cu -0.561 -1.308 -1.315
Cu -0.678 -1.133 1.418
Cu 3.126 -4.645 0.431
Cu -0.931 -5.664 0.322
```

Raw total energy   -3.50 eV/atom
SG   I4/mmm, No. 139

---

[3]
VASP calculation (PBE-GGA) on a relaxed CrIr2Se crystal.

```
4
Lattice="-1.907 2.018 -0.636 -2.019 -1.992 -0.269 -1.572 0.669 6.837" Properties=species:S:1:pos:R:3 pbc="T T T"
Cr -3.135 0.512 4.647
Ir -1.537 0.654 6.685
Ir -2.365 0.185 1.300
Se -0.817 0.348 3.556
```

SG   P4mm, No. 99
Uncorrected formation energy   0.245 eV/atom

---

[4]
VASP calculation (PBE-GGA) on a relaxed Tl2FeSi crystal.

```
4
Lattice="6.843 -0.056 -0.011 4.658 5.013 0.011 -5.318 -3.483 2.534" Properties=species:S:1:pos:R:3 pbc="T T T"
Fe 6.101 2.629 0.000
Si 2.716 -0.928 1.261
Tl 0.004 0.002 0.000
Tl 3.114 2.249 1.272
```

SG   Imm2, No. 44
Offset from the most stable computed form   20.9 kJ/mol of atoms
Uncorrected formation energy   0.450 eV/atom

---

[5]
VASP calculation (PBE-GGA) on a relaxed SrCrSb2I crystal.

```
5
Lattice="6.220 0.000 0.000 0.000 6.220 0.000 0.000 0.000 6.160" Properties=species:S:1:pos:R:3 pbc="T T T"
Sb 0.000 3.110 0.000
Sb 3.110 0.000 0.000
I 0.000 0.000 3.080
Cr 3.110 3.110 3.080
Sr 0.000 0.000 0.000
```

SG   P4/mmm, No. 123
Offset from the most stable computed form   97.0 kJ/mol of atoms
Uncorrected formation energy   0.783 eV/atom

---

[6]
VASP calculation (PBE-GGA) on a relaxed NbGeAs3 crystal.

```
5
Lattice="4.803 0.000 0.000 0.000 4.803 0.000 0.000 0.000 4.803" Properties=species:S:1:pos:R:3 pbc="T T T"
Ge 0.000 0.000 0.000
As 0.000 0.000 2.401
As 2.401 0.000 0.000
As 0.000 2.401 0.000
Nb 2.401 2.401 2.401
```

SG   Pm-3m, No. 221
Offset from the most stable computed form   59.4 kJ/mol of atoms
Energy of formation   1.07 eV per atom

---

[7]
VASP calculation (PBE-GGA) on a relaxed OsAu3Se crystal.

```
5
Lattice="-3.841 -1.746 2.422 1.579 -4.537 -0.768 2.535 0.179 4.149" Properties=species:S:1:pos:R:3 pbc="T T T"
Au 1.267 0.090 2.074
Au -1.920 -0.873 1.211
Au 0.789 -2.269 -0.384
Os 0.136 -3.052 2.901
Se 0.000 0.000 0.000
```

SG   Pm-3m, No. 221
Offset from the most stable computed form   14.6 kJ/mol of atoms
Uncorrected formation energy   1.572 eV/atom

---

[8]
VASP calculation (PBE-GGA) on a relaxed Mn2Ir6Rh crystal.

```
9
Lattice="-0.426 0.655 -3.735 5.434 -2.502 -1.059 -3.810 -4.456 1.602" Properties=species:S:1:pos:R:3 pbc="T T T"
Mn 4.049 -2.535 -0.907
Mn -2.851 -3.767 -2.285
Ir -1.330 -2.714 -0.325
Ir -0.227 -0.977 -2.095
Ir -0.173 -3.683 -2.576
Ir 1.425 -5.326 -1.097
Ir 1.371 -2.620 -0.616
Ir 2.528 -3.588 -2.868
Rh 2.504 -0.923 -2.397
```

SG   C2/m, No. 12
Energy of formation   -0.11 eV per atom

---

[9]
VASP calculation (PBE-GGA) on a relaxed CeTiGe2 crystal.

```
4
Lattice="-2.750 -0.529 -3.301 1.476 -1.281 -3.862 -1.122 -5.547 -1.014" Properties=species:S:1:pos:R:3 pbc="T T T"
Ge -1.756 -5.225 -6.215
Ge -0.640 -2.132 -1.963
Ce 0.000 0.000 0.000
Ti -1.198 -3.678 -4.089
```

SG   R-3m, No. 166
Energy of formation   -0.57 eV per atom

---

[10]
VASP calculation (PBE-GGA) on a relaxed Mg4Cu8Se crystal.

```
13
Lattice="7.906 -0.061 0.000 -7.149 3.377 0.000 -0.379 -1.658 7.721" Properties=species:S:1:pos:R:3 pbc="T T T"
Cu -0.868 0.198 3.967
Cu 4.693 0.673 2.661
Cu 1.247 1.460 3.754
Cu -4.314 0.985 5.060
Cu -2.216 2.251 4.426
Cu -3.282 2.494 0.891
Cu 3.660 -0.836 6.830
Cu 2.594 -0.592 3.295
Mg 1.235 -0.282 5.804
Mg -0.857 1.940 1.917
Mg -1.869 0.427 6.454
Mg 2.248 1.231 1.267
Se 0.000 0.000 0.000
```

SG   I4/m, No. 87
Offset from the most stable computed form   0.0 kJ/mol of atoms
Uncorrected formation energy   -0.106 eV/atom

---

[11]
VASP calculation (PBE-GGA) on a relaxed BeSiNiPd crystal.

```
4
Lattice="4.024 0.000 0.000 2.012 3.485 0.000 2.012 1.162 3.286" Properties=species:S:1:pos:R:3 pbc="T T T"
Si 6.036 3.485 2.464
Be 2.012 1.162 0.821
Ni 4.024 2.323 1.643
Pd 0.000 0.000 0.000
```

SG   F-43m, No. 216
Uncorrected formation energy   -0.444 eV/atom

---

[12]
VASP calculation (PBE-GGA) on a relaxed Ca2ErInO crystal.

```
5
Lattice="-4.340 -0.079 2.083 -2.022 -1.056 -4.253 0.526 -4.708 0.919" Properties=species:S:1:pos:R:3 pbc="T T T"
Er -2.170 -0.039 1.041
Ca 0.263 -2.354 0.459
Ca -1.011 -0.528 -2.126
O 0.000 0.000 0.000
In -2.918 -2.921 -0.625
```

SG   P4/mmm, No. 123
Uncorrected formation energy   -1.418 eV/atom

---

[13]
VASP calculation (PBE-GGA) on a relaxed AlHgW crystal.

```
3
Lattice="5.563 0.019 -0.010 3.636 4.210 0.010 -4.390 -2.568 2.252" Properties=species:S:1:pos:R:3 pbc="T T T"
W 3.234 1.487 0.000
Al 9.066 4.168 0.000
Hg 6.097 2.803 0.000
```

SG   Imm2, No. 44
Offset from the most stable computed form   12.9 kJ/mol of atoms
Energy of formation   0.52 eV per atom

---

[14]
VASP calculation (PBE-GGA) on a relaxed LiRuO2 crystal.

```
8
Lattice="4.687 0.000 0.000 0.000 4.687 0.000 2.343 2.343 4.171" Properties=species:S:1:pos:R:3 pbc="T T T"
Li 2.343 4.687 2.085
Li 2.343 2.343 0.000
O 5.858 5.844 3.128
O 3.501 1.172 1.043
O 1.186 3.515 1.043
O 3.515 3.529 3.128
Ru 0.000 0.000 0.000
Ru 4.687 2.343 2.085
```

SG   I-42d, No. 122
Uncorrected formation energy   -1.028 eV/atom

---

[15]
VASP calculation (PBE-GGA) on a relaxed AlCo2Pb crystal.

```
4
Lattice="4.924 -0.003 -0.022 3.948 2.942 -0.022 0.990 0.328 4.146" Properties=species:S:1:pos:R:3 pbc="T T T"
Pb 4.996 1.655 2.317
Co 7.401 2.452 2.833
Co 8.795 2.913 0.271
Al 2.473 0.819 0.687
```

SG   Cm, No. 8
Offset from the most stable computed form   25.6 kJ/mol of atoms
Energy of formation   0.23 eV per atom

---

[16]
VASP calculation (PBE-GGA) on a relaxed CrFeOs2 crystal.

```
4
Lattice="4.502 -0.002 0.000 -1.359 4.292 0.000 0.000 0.000 2.681" Properties=species:S:1:pos:R:3 pbc="T T T"
Cr 2.251 -0.001 1.341
Os 1.571 2.145 0.000
Os 0.000 0.000 0.000
Fe -0.680 2.146 1.341
```

SG   Cmmm, No. 65
Energy of formation   0.12 eV per atom

---

[17]
VASP calculation (PBE-GGA) on a relaxed Sm2ErGe3Ir4 crystal.

```
10
Lattice="-2.294 1.493 3.153 -3.478 -0.677 -2.209 -0.749 -10.323 4.342" Properties=species:S:1:pos:R:3 pbc="T T T"
Ir -2.886 0.408 0.472
Ir 0.000 0.000 0.000
Ir -1.640 -6.053 4.437
Ir -1.994 -3.862 0.377
Ge -0.374 -5.161 2.171
Ge -1.831 -1.606 -0.572
Ge -1.804 -8.309 5.386
Er -3.260 -4.754 2.643
Sm -2.316 -8.291 2.240
Sm -1.319 -1.624 2.574
```

SG   P-4m2, No. 115
Energy of formation   -0.80 eV per atom

---

[18]
VASP calculation (PBE-GGA) on a relaxed EuLuAs crystal.

```
3
Lattice="-0.430 -4.130 1.409 1.673 -1.591 -4.152 2.993 0.909 3.576" Properties=species:S:1:pos:R:3 pbc="T T T"
As -0.066 -0.633 0.216
Lu 2.478 -0.643 1.245
Eu 1.824 -3.537 -0.628
```

SG   P3m1, No. 156
Energy of formation   -0.67 eV per atom

---

[19]
VASP calculation (PBE-GGA) on a relaxed Hf2NiAgH crystal.

```
5
Lattice="4.532 0.000 0.000 0.000 4.532 0.000 0.000 0.000 3.574" Properties=species:S:1:pos:R:3 pbc="T T T"
Ag 2.266 2.266 1.787
H 0.000 0.000 0.000
Hf 2.266 0.000 0.000
Hf 0.000 2.266 0.000
Ni 0.000 0.000 1.787
```

Raw total energy   -6.53 eV/atom
SG   P4/mmm, No. 123

---

[20]
VASP calculation (PBE-GGA) on a relaxed BeAg3I crystal.

```
5
Lattice="4.739 0.000 0.000 0.000 4.739 0.000 0.000 0.000 4.739" Properties=species:S:1:pos:R:3 pbc="T T T"
I 2.370 2.370 2.370
Ag 0.000 2.370 0.000
Ag 0.000 0.000 2.370
Ag 2.370 0.000 0.000
Be 0.000 0.000 0.000
```

SG   Pm-3m, No. 221
Offset from the most stable computed form   0.0 kJ/mol of atoms
Uncorrected formation energy   0.488 eV/atom